## Sr2ZrAlO6 (PBE-GGA)

Data for a geometry-optimized Sr2ZrAlO6 structure.

- Raw formation energy: -2.8668 eV/atom
- Total DFT energy (no corrections): -0.544 Ry per atom

The structure in CIF format:
```
data_Sr2ZrAlO6
_cell_length_a 4.0886
_cell_length_b 4.0886
_cell_length_c 7.9111
_cell_angle_alpha 90.00
_cell_angle_beta 90.00
_cell_angle_gamma 90.00
_space_group_name_H-M_alt 'P 1'
_space_group_IT_number 1
loop_
_space_group_symop_operation_xyz
'x,y,z'
loop_
_atom_site_label
_atom_site_type_symbol
_atom_site_fract_x
_atom_site_fract_y
_atom_site_fract_z
Sr1 Sr 0.0000 0.0000 0.2292
Sr2 Sr 0.0000 0.0000 0.7708
Zr1 Zr 0.5000 0.5000 0.5000
Al1 Al 0.5000 0.5000 0.0000
O1 O 0.0000 0.5000 0.0000
O2 O 0.0000 0.5000 0.5000
O3 O 0.5000 0.0000 0.0000
O4 O 0.5000 0.0000 0.5000
O5 O 0.5000 0.5000 0.2313
O6 O 0.5000 0.5000 0.7687
```